[1]
# GGA-PBE NdHoBr, relaxed
data_NdHoBr
_chemical_formula_sum 'Nd2 Ho2 Br2'
_space_group_name_H-M_alt 'P 1'
_space_group_IT_number 1
_cell_length_a 9.358
_cell_length_b 9.358
_cell_length_c 5.582
_cell_angle_alpha 90.00
_cell_angle_beta 90.00
_cell_angle_gamma 157.81
loop_
_space_group_symop_operation_xyz
'x,y,z'
loop_
_atom_site_label
_atom_site_type_symbol
_atom_site_fract_x
_atom_site_fract_y
_atom_site_fract_z
Nd1 Nd 0.137 0.863 0.750
Nd2 Nd 0.863 0.137 0.250
Ho1 Ho 0.467 0.533 0.750
Ho2 Ho 0.533 0.467 0.250
Br1 Br 0.308 0.692 0.750
Br2 Br 0.692 0.308 0.250
# Formation energy without anion corrections ... -0.625 eV/atom
# N(E_F) ... 6.10 states/eV/cell
# Crystal system ... orthorhombic
# E_tot ... -4.298 eV per atom

***

[2]
# GGA-PBE NdHoRhBr, relaxed
data_NdHoRhBr
_chemical_formula_sum 'Nd1 Ho1 Rh1 Br1'
_space_group_name_H-M_alt 'P 1'
_space_group_IT_number 1
_cell_length_a 8.153
_cell_length_b 8.153
_cell_length_c 8.153
_cell_angle_alpha 28.64
_cell_angle_beta 28.64
_cell_angle_gamma 28.64
loop_
_space_group_symop_operation_xyz
'x,y,z'
loop_
_atom_site_label
_atom_site_type_symbol
_atom_site_fract_x
_atom_site_fract_y
_atom_site_fract_z
Nd1 Nd 0.000 0.000 0.000
Ho1 Ho 0.795 0.795 0.795
Rh1 Rh 0.401 0.401 0.401
Br1 Br 0.228 0.228 0.228
# Formation energy without anion corrections ... -1.066 eV/atom
# N(E_F) ... 0.31 states/eV/cell
# Crystal system ... trigonal
# E_tot ... -5.658 eV per atom

***

[3]
# GGA-PBE Ho7NiBr12, relaxed
data_Ho7NiBr12
_chemical_formula_sum 'Ho7 Ni1 Br12'
_space_group_name_H-M_alt 'P 1'
_space_group_IT_number 1
_cell_length_a 9.128
_cell_length_b 9.128
_cell_length_c 9.128
_cell_angle_alpha 107.40
_cell_angle_beta 107.40
_cell_angle_gamma 107.40
loop_
_space_group_symop_operation_xyz
'x,y,z'
loop_
_atom_site_label
_atom_site_type_symbol
_atom_site_fract_x
_atom_site_fract_y
_atom_site_fract_z
Ho1 Ho 0.000 0.000 0.000
Ho2 Ho 0.191 0.470 0.395
Ho3 Ho 0.395 0.191 0.470
Ho4 Ho 0.470 0.395 0.191
Ho5 Ho 0.530 0.605 0.809
Ho6 Ho 0.605 0.809 0.530
Ho7 Ho 0.809 0.530 0.605
Ni1 Ni 0.500 0.500 0.500
Br1 Br 0.029 0.110 0.337
Br2 Br 0.110 0.337 0.029
Br3 Br 0.180 0.574 0.721
Br4 Br 0.279 0.820 0.426
Br5 Br 0.337 0.029 0.110
Br6 Br 0.426 0.279 0.820
Br7 Br 0.574 0.721 0.180
Br8 Br 0.663 0.971 0.890
Br9 Br 0.721 0.180 0.574
Br10 Br 0.820 0.426 0.279
Br11 Br 0.890 0.663 0.971
Br12 Br 0.971 0.890 0.663
# Formation energy without anion corrections ... -1.552 eV/atom
# N(E_F) ... 4.82 states/eV/cell
# Crystal system ... trigonal
# E_tot ... -4.447 eV per atom

***

Q: The lowest N(E_F) belongs to which entry?
A: NdHoRhBr

***

Q: Which formula does entry 1 have?
A: NdHoBr